1.
Mn2VSiOs: relaxed, PBE.

```
Mn2VSiOs
1.0
4.112 0.000 0.000
0.000 4.112 0.000
0.000 0.000 4.323
Mn V Si Os
2 1 1 1
Direct
0.000 0.500 0.000 Mn
0.500 0.000 0.000 Mn
0.000 0.000 0.500 V
0.500 0.500 0.000 Si
0.500 0.500 0.500 Os
```

Results
Density in g/cm³: 8.6
SG: P4/mmm

***

2.
Sr2GaBr: relaxed, PBE.

```
Sr2GaBr
1.0
3.813 0.000 0.000
0.000 3.813 0.000
0.000 0.000 8.643
Sr Ga Br
2 1 1
Direct
0.000 0.000 0.227 Sr
0.000 0.000 0.773 Sr
0.500 0.500 0.000 Ga
0.500 0.500 0.500 Br
```

Results
Density in g/cm³: 4.3
SG: P4/mmm
Relative energy among the computed polymorphs in meV per atom: 114

***

3.
V2SbSe: relaxed, PBE.

```
V2SbSe
1.0
0.000 3.218 3.218
3.218 0.000 3.218
3.218 3.218 0.000
V Sb Se
2 1 1
Direct
0.250 0.250 0.250 V
0.750 0.750 0.750 V
0.000 0.000 0.000 Sb
0.500 0.500 0.500 Se
```

Results
Density in g/cm³: 7.5
SG: Fm-3m
Relative energy among the computed polymorphs in meV per atom: 89

***

4.
Ce3ScPa3N8: relaxed, PBE.

```
Ce3ScPa3N8
1.0
3.464 2.000 5.740
-3.464 2.000 5.740
0.000 -4.000 5.740
Ce Sc Pa N
3 1 3 8
Direct
0.000 0.500 0.500 Ce
0.500 0.000 0.500 Ce
0.500 0.500 0.000 Ce
0.500 0.500 0.500 Sc
0.000 0.000 0.500 Pa
0.000 0.500 0.000 Pa
0.500 0.000 0.000 Pa
0.243 0.243 0.243 N
0.249 0.730 0.730 N
0.270 0.270 0.751 N
0.270 0.751 0.270 N
0.730 0.249 0.730 N
0.730 0.730 0.249 N
0.751 0.270 0.270 N
0.757 0.757 0.757 N
```

Results
Density in g/cm³: 8.8
SG: R-3m

***

5.
Ca6O5F: relaxed, PBE.

```
Ca6O5F
1.0
2.972 -5.149 0.000
2.972 5.149 0.000
-1.982 0.000 5.601
Ca O F
6 5 1
Direct
0.068 0.415 0.744 Ca
0.240 0.240 0.260 Ca
0.415 0.068 0.744 Ca
0.585 0.932 0.256 Ca
0.760 0.760 0.740 Ca
0.932 0.585 0.256 Ca
0.000 0.000 0.500 O
0.167 0.833 0.000 O
0.335 0.665 0.500 O
0.665 0.335 0.500 O
0.833 0.167 0.000 O
0.500 0.500 0.000 F
```

Results
Density in g/cm³: 3.3
SG: C2/m

***

6.
MoRu: relaxed, PBE.

```
MoRu
1.0
7.571 0.000 0.000
0.000 7.571 0.000
0.000 0.000 4.479
Mo Ru
8 8
Direct
0.065 0.306 0.000 Mo
0.092 0.769 0.500 Mo
0.231 0.092 0.500 Mo
0.306 0.935 0.000 Mo
0.694 0.065 0.000 Mo
0.769 0.908 0.500 Mo
0.908 0.231 0.500 Mo
0.935 0.694 0.000 Mo
0.247 0.432 0.500 Ru
0.266 0.596 0.000 Ru
0.404 0.266 0.000 Ru
0.432 0.753 0.500 Ru
0.568 0.247 0.500 Ru
0.596 0.734 0.000 Ru
0.734 0.404 0.000 Ru
0.753 0.568 0.500 Ru
```

Results
Density in g/cm³: 10.2
SG: P4/m

***

7.
Li5I: relaxed, PBE.

```
Li5I
1.0
2.066 -7.101 0.000
2.066 7.101 0.000
0.000 0.000 4.328
Li I
5 1
Direct
0.000 0.000 0.000 Li
0.165 0.835 0.500 Li
0.318 0.682 0.000 Li
0.682 0.318 0.000 Li
0.835 0.165 0.500 Li
0.500 0.500 0.500 I
```

Results
Density in g/cm³: 2.1
SG: Cmmm

***

8.
NaLaC3: relaxed, PBE.

```
NaLaC3
1.0
4.247 0.000 0.000
0.000 4.247 0.000
0.000 0.000 4.247
Na La C
1 1 3
Direct
0.000 0.000 0.000 Na
0.500 0.500 0.500 La
0.000 0.000 0.500 C
0.000 0.500 0.000 C
0.500 0.000 0.000 C
```

Results
Density in g/cm³: 4.3
SG: Pm-3m
Relative energy among the computed polymorphs in meV per atom: 0

***

Number 1: DFT total energy -7.9331 eV/atom. Number 2: DFT total energy -2.9131 eV/atom. Number 3: DFT total energy -6.4088 eV/atom. Number 4: DFT total energy -9.4419 eV/atom. Number 5: DFT total energy -6.0813 eV/atom. Number 6: DFT total energy -9.6164 eV/atom. Number 7: DFT total energy -2.1215 eV/atom. Number 8: DFT total energy -4.4569 eV/atom.